1.
# NaCa3Rh

Crystalline NaCa3Rh at its relaxed geometry (PBE, the Alexandria database).

ΔH_f (0 K): -0.13 eV per atom
Crystal system: hexagonal

a b c (Å): 5.4514 5.4514 11.3238
angles (deg): 90.00 90.00 120.00
With the nearest neighbours (Å) after each atom.
Space group P6_3/mmc (No. 194)
Inequivalent atoms, fractional coordinates:
1 Na 0.3333 0.6667 0.2500  5 Ca 3.15-3.51
2 Ca 0.0000 0.0000 0.2500  2 Rh 2.83, 3 Na 3.15
3 Ca 0.3333 0.6667 0.5603  3 Rh 3.22, 3 Ca 3.43, 1 Na 3.51
4 Rh 0.0000 0.0000 0.0000  2 Ca 2.83

=====

2.
# LiSiRh2

Crystalline LiSiRh2 at its relaxed geometry (PBE, the Alexandria database).

Formation energy from raw total energies: -0.40 eV per atom
Crystal system: orthorhombic

a b c (Å): 2.7535 3.6913 5.1072
angles (deg): 90.00 90.00 90.00
With the nearest neighbours (Å) after each atom.
Space group Pmm2 (No. 25)
Inequivalent atoms, fractional coordinates:
1 Li 0.0000 0.0000 0.0000  6 Rh 2.47-2.64, 4 Si 2.70, 2 Li 2.75
2 Si 0.5000 0.5000 0.7230  5 Rh 2.41-2.53
3 Rh 0.0000 0.0000 0.5171  2 Li 2.47-2.64, 4 Si 2.53, 2 Rh 2.75
4 Rh 0.5000 0.5000 0.1946  1 Si 2.41, 4 Li 2.51

=====

3.
# Re2SbRh2

Crystalline Re2SbRh2 at its relaxed geometry (PBE, the Alexandria database).

Formation energy from raw total energies: 0.50 eV per atom
Crystal system: tetragonal

a b c (Å): 3.6504 3.6504 12.8799
angles (deg): 90.00 90.00 90.00
With the nearest neighbours (Å) after each atom.
Space group I4/mmm (No. 139)
Inequivalent atoms, fractional coordinates:
1 Re 0.0000 0.0000 0.1047  4 Rh 2.61, 1 Re 2.70, 4 Sb 2.91
2 Sb 0.0000 0.0000 0.5000  8 Re 2.91
3 Rh 0.0000 0.5000 0.2500  4 Rh 2.58, 4 Re 2.61

=====

4.
# Ta2HRhAu

Crystalline Ta2HRhAu at its relaxed geometry (PBE, the Alexandria database).

Crystal system: tetragonal

a b c (Å): 4.1056 4.1056 4.0872
angles (deg): 90.00 90.00 90.00
With the nearest neighbours (Å) after each atom.
Space group P4/mmm (No. 123)
Inequivalent atoms, fractional coordinates:
1 Ta 0.0000 0.5000 0.0000  2 H 2.05
2 H 0.0000 0.0000 0.0000  2 Rh 2.04, 4 Ta 2.05
3 Rh 0.0000 0.0000 0.5000  2 H 2.04
4 Au 0.5000 0.5000 0.5000  8 Ta 2.90, 4 Rh 2.90

=====

5.
# KCuBr2

Crystalline KCuBr2 at its relaxed geometry (PBE, the Alexandria database).

Formation energy from raw total energies: -0.96 eV per atom
Crystal system: tetragonal

a b c (Å): 4.1035 4.1035 13.2466
angles (deg): 90.00 90.00 90.00
With the nearest neighbours (Å) after each atom.
Space group I-4m2 (No. 119)
Inequivalent atoms, fractional coordinates:
1 K 0.0000 0.0000 0.0000  8 Br 3.47
2 Cu 0.0000 0.5000 0.2500  4 Br 2.49
3 Br 0.0000 0.0000 0.3563  2 Cu 2.49

=====

6.
# CrTc2Ir

Crystalline CrTc2Ir at its relaxed geometry (PBE, the Alexandria database).

ΔH_f (0 K): -0.03 eV per atom
Crystal system: orthorhombic

a b c (Å): 4.1377 2.7038 9.9798
angles (deg): 90.00 90.00 90.00
With the nearest neighbours (Å) after each atom.
Space group Amm2 (No. 38)
Inequivalent atoms, fractional coordinates:
1 Cr 0.0000 0.0000 0.0000  3 Tc 2.41-2.56
2 Tc 0.0000 0.0000 0.2562  3 Cr 2.56-2.78, 6 Tc 2.70-2.75
3 Tc 0.5000 0.0000 0.8769  2 Cr 2.41, 1 Ir 2.66
4 Ir 0.5000 0.0000 0.6106  7 Tc 2.66-2.87, 2 Ir 2.70, 4 Cr 2.71

=====

7.
# ZnIn4Hg15

Crystalline ZnIn4Hg15 at its relaxed geometry (PBE, the Alexandria database).

ΔH_f (0 K): 0.03 eV per atom
Crystal system: tetragonal

a b c (Å): 4.4349 4.4349 26.3334
angles (deg): 90.00 90.00 90.00
With the nearest neighbours (Å) after each atom.
Space group P4/mmm (No. 123)
Inequivalent atoms, fractional coordinates:
1 Zn 0.0000 0.0000 0.0000  12 Hg 3.14-3.28
2 In 0.0000 0.0000 0.1870  8 Hg 3.15-3.35
3 In 0.0000 0.0000 0.3958  8 Hg 3.14-3.45
4 Hg 0.0000 0.5000 0.0916  6 Hg 3.14-3.28, 2 Zn 3.28, 2 In 3.35
5 Hg 0.0000 0.5000 0.2954  6 Hg 3.14-3.37, 2 In 3.45
6 Hg 0.0000 0.5000 0.5000  8 Hg 3.14-3.45
7 Hg 0.5000 0.5000 0.0000  4 Zn 3.14, 8 Hg 3.28
8 Hg 0.5000 0.5000 0.1992  4 In 3.15, 4 Hg 3.37
9 Hg 0.5000 0.5000 0.3995  4 In 3.14, 4 Hg 3.45

=====

8.
# Sc3TlPt

Crystalline Sc3TlPt at its relaxed geometry (PBE, the Alexandria database).

ΔH_f (0 K): -0.57 eV per atom
Crystal system: cubic

a b c (Å): 6.8544 6.8544 6.8544
angles (deg): 90.00 90.00 90.00
With the nearest neighbours (Å) after each atom.
Space group Pm-3m (No. 221)
Inequivalent atoms, fractional coordinates:
1 Sc 0.0000 0.0000 0.0000  8 Sc 3.22, 6 Tl 3.43
2 Sc 0.2710 0.2710 0.2710  3 Pt 2.89, 3 Tl 3.06, 4 Sc 3.14-3.22
3 Tl 0.0000 0.0000 0.5000  10 Sc 3.06-3.43, 4 Pt 3.43
4 Pt 0.0000 0.5000 0.5000  8 Sc 2.89

=====

Q: Which energy values were calculated for the entries above? A: -3.0609 -5.9138 -8.2471 -7.7282 -3.0961 -9.8325 -0.8119 -6.0503, in eV/atom.